DFT (GGA+U) results for an optimized crystal structure of Tl2VSe2O6.

Structure (POSCAR):
```
Tl2VSe2O6
1.0
6.590 0.000 0.000
-3.295 4.396 0.191
0.000 -2.291 6.337
O Tl Se V
6 2 2 1
Direct
0.240 0.873 0.658
0.275 0.549 0.292
0.725 0.451 0.708
0.633 0.873 0.658
0.760 0.127 0.342
0.367 0.127 0.342
0.712 0.423 0.132
0.288 0.577 0.868
0.914 0.827 0.665
0.086 0.173 0.335
0.500 0.000 0.500
```

Results
Its total energy is -5.34 eV/atom. Its density is 6.36 g cm⁻³. As for the total magnetic moment: 0.0 μB per formula unit.